First-principles (GGA-PBE) data for an optimized crystal structure of KUBeS4, as listed in Alexandria.

Unit cell a=6.1447 b=6.3028 c=8.7560 alpha=90.00 beta=108.82 gamma=90.00
Each line ends with the local moment (μB).
Positions (direct):
S 0.5621 0.2500 0.4225  -0.06
S 0.5843 0.2500 0.8188  -0.05
S 0.4157 0.7500 0.1812  -0.05
S 0.9902 0.0039 0.2998  -0.06
S 0.0098 0.9961 0.7002  -0.06
S 0.0098 0.5039 0.7002  -0.06
S 0.4379 0.7500 0.5775  -0.06
S 0.9902 0.4961 0.2998  -0.06
K 0.2606 0.2500 0.0560  0.00
K 0.7394 0.7500 0.9440  0.00
Be 0.2241 0.7500 0.3383  0.00
Be 0.7759 0.2500 0.6617  0.00
U 0.2381 0.2500 0.5546  1.27
U 0.7619 0.7500 0.4454  1.27

Raw formation energy = -1.21 eV per atom
E_tot = -82.18 eV per cell
Space group = No. 11